(1)
DFT (PBE-GGA) results for a geometry-optimized ZnSiIr2 structure.

Results
Crystal system: tetragonal
ΔE_f (raw): -31 meV/atom
N(E_F): 0.18 states/eV/atom

a b c (Å): 6.834 6.834 5.334
angles (deg): 90.00 90.00 90.00
Space group I-42d (No. 122)
Symmetry-distinct sites (fractional):
Zn 0.000 0.000 0.000
Si 0.000 0.000 0.500
Ir 0.200 0.250 0.625

***

(2)
DFT (PBE-GGA) results for a geometry-optimized Ti8V2Zn structure.

Results
Crystal system: monoclinic
N(E_F): 0.99 states/eV/atom
E_form: 101 meV per atom

a b c (Å): 13.793 5.390 5.004
angles (deg): 90.00 94.21 90.00
Space group C2/m (No. 12)
Symmetry-distinct sites (fractional):
Ti 0.063 0.000 0.165
Ti 0.115 0.249 0.650
Ti 0.203 0.500 0.137
V 0.229 0.000 0.345
Zn 0.000 0.500 0.000

***

(3)
DFT (PBE-GGA) results for a geometry-optimized Mn2FeRh structure.

Results
Crystal system: tetragonal
N(E_F): 1.40 states/eV/atom
E_form: 51 meV per atom
Distance to the lowest polymorph of the same formula: 0.111 eV/atom

a b c (Å): 2.581 2.581 7.142
angles (deg): 90.00 90.00 90.00
Space group P4/mmm (No. 123)
Symmetry-distinct sites (fractional):
Mn 0.000 0.000 0.238
Fe 0.500 0.500 0.000
Rh 0.500 0.500 0.500

***

(4)
DFT (PBE-GGA) results for a geometry-optimized KZn2Re structure.

Results
Crystal system: tetragonal
N(E_F): 0.90 states/eV/atom
E_form: 1039 meV per atom
Distance to the lowest polymorph of the same formula: 0.551 eV/atom

a b c (Å): 5.221 5.221 17.400
angles (deg): 90.00 90.00 90.00
Space group I-42d (No. 122)
Symmetry-distinct sites (fractional):
K 0.000 0.000 0.000
Zn 0.001 0.750 0.625
Re 0.000 0.000 0.500

***

(5)
DFT (PBE-GGA) results for a geometry-optimized Tb3Pm2HoSe6 structure.

Results
Crystal system: monoclinic
ΔE_f (raw): -1785 meV/atom
N(E_F): 0.47 states/eV/atom

a b c (Å): 17.960 4.106 8.291
angles (deg): 90.00 103.34 90.00
Space group C2/m (No. 12)
Symmetry-distinct sites (fractional):
Tb 0.000 0.000 0.000
Tb 0.170 0.500 0.333
Pm 0.168 0.500 0.836
Ho 0.000 0.000 0.500
Se 0.003 0.500 0.254
Se 0.164 0.000 0.088
Se 0.164 0.000 0.576

***

(6)
DFT (PBE-GGA) results for a geometry-optimized Hf2FeRh structure.

Results
Crystal system: tetragonal
N(E_F): 1.22 states/eV/atom
E_form: 309 meV per atom

a b c (Å): 4.195 4.195 17.310
angles (deg): 90.00 90.00 90.00
Space group I-42d (No. 122)
Symmetry-distinct sites (fractional):
Hf 0.246 0.250 0.125
Fe 0.000 0.000 0.000
Rh 0.000 0.000 0.500